[1]
Here is an optimized crystal structure of VCd2SeI from the Alexandria database. Energies are from PBE.

Values from the calculation:
E	-2.267	eV/atom
spin magnetization	3.69	μB per cell
E_form (uncorrected)	0.930	eV per atom
density	4.7	Mg/m³

Structure (CIF):
```
data_VCd2SeI
_cell_length_a 5.7373
_cell_length_b 5.7373
_cell_length_c 5.1889
_cell_angle_alpha 90.00
_cell_angle_beta 90.00
_cell_angle_gamma 90.00
_symmetry_space_group_name_H-M 'P 4/m m m'
_symmetry_Int_Tables_number 123
_symmetry_space_group_name_Hall '-P 4 2'
loop_
_atom_site_label
_atom_site_type_symbol
_atom_site_fract_x
_atom_site_fract_y
_atom_site_fract_z
V1 V 0.0000 0.0000 0.0000
Cd1 Cd 0.0000 0.5000 0.5000
Se1 Se 0.5000 0.5000 0.0000
I1 I 0.0000 0.0000 0.5000
```

---

[2]
Here is an optimized crystal structure of ZrFeGeRu from the Alexandria database. Energies are from PBE.

Values from the calculation:
E	-8.142	eV/atom
spin magnetization	0.00	μB per cell
energy of formation from the pure elements	-416	meV per atom
density	9.0	Mg/m³

Structure (CIF):
```
data_ZrFeGeRu
_cell_length_a 6.1778
_cell_length_b 6.1778
_cell_length_c 6.1778
_cell_angle_alpha 90.00
_cell_angle_beta 90.00
_cell_angle_gamma 90.00
_symmetry_space_group_name_H-M 'F -4 3 m'
_symmetry_Int_Tables_number 216
_symmetry_space_group_name_Hall 'F -4 2 3'
loop_
_atom_site_label
_atom_site_type_symbol
_atom_site_fract_x
_atom_site_fract_y
_atom_site_fract_z
Zr1 Zr 0.0000 0.0000 0.0000
Fe1 Fe 0.2500 0.2500 0.7500
Ge1 Ge 0.0000 0.0000 0.5000
Ru1 Ru 0.2500 0.2500 0.2500
```

---

[3]
Here is an optimized crystal structure of BaZrFe2 from the Alexandria database. Energies are from PBE.

Values from the calculation:
E	-6.020	eV/atom
spin magnetization	10.68	μB per cell
energy of formation from the pure elements	829	meV per atom
density	5.6	Mg/m³

Structure (CIF):
```
data_BaZrFe2
_cell_length_a 4.8700
_cell_length_b 4.8700
_cell_length_c 16.8756
_cell_angle_alpha 90.00
_cell_angle_beta 90.00
_cell_angle_gamma 90.00
_symmetry_space_group_name_H-M 'I 41/a m d'
_symmetry_Int_Tables_number 141
loop_
_symmetry_equiv_pos_as_xyz
'x,y,z'
'-x,-y,-z'
'-y+1/4,x+3/4,z+1/4'
'y+1/4,-x+3/4,-z+1/4'
'-x+1/2,-y,z+1/2'
'x+1/2,y,-z+1/2'
'y+1/4,-x+1/4,z+3/4'
'-y+1/4,x+1/4,-z+3/4'
'x,-y,-z'
'-x,y,z'
'-y+1/4,-x+1/4,-z+3/4'
'y+1/4,x+1/4,z+3/4'
'-x+1/2,y,-z+1/2'
'x+1/2,-y,z+1/2'
'y+1/4,x+3/4,-z+1/4'
'-y+1/4,-x+3/4,z+1/4'
'x+1/2,y+1/2,z+1/2'
'-x+1/2,-y+1/2,-z+1/2'
'-y+3/4,x+1/4,z+3/4'
'y+3/4,-x+1/4,-z+3/4'
'-x,-y+1/2,z'
'x,y+1/2,-z'
'y+3/4,-x+3/4,z+1/4'
'-y+3/4,x+3/4,-z+1/4'
'x+1/2,-y+1/2,-z+1/2'
'-x+1/2,y+1/2,z+1/2'
'-y+3/4,-x+3/4,-z+1/4'
'y+3/4,x+3/4,z+1/4'
'-x,y+1/2,-z'
'x,-y+1/2,z'
'y+3/4,x+1/4,-z+3/4'
'-y+3/4,-x+1/4,z+3/4'
loop_
_atom_site_label
_atom_site_type_symbol
_atom_site_fract_x
_atom_site_fract_y
_atom_site_fract_z
Ba1 Ba 0.0000 0.2500 0.3750
Zr1 Zr 0.0000 0.2500 0.8750
Fe1 Fe 0.0000 0.0000 0.0000
```

---

[4]
Here is an optimized crystal structure of Tm6Tl3Te from the Alexandria database. Energies are from PBE.

Values from the calculation:
E	-4.027	eV/atom
spin magnetization	0.00	μB per cell
E_form (uncorrected)	-0.320	eV per atom
density	10.2	Mg/m³

Structure (CIF):
```
data_Tm6Tl3Te
_cell_length_a 10.1613
_cell_length_b 16.8019
_cell_length_c 6.7135
_cell_angle_alpha 90.00
_cell_angle_beta 90.00
_cell_angle_gamma 90.00
_symmetry_space_group_name_H-M 'C m c 21'
_symmetry_Int_Tables_number 36
loop_
_symmetry_equiv_pos_as_xyz
'x,y,z'
'-x,-y,z+1/2'
'-x,y,z'
'x,-y,z+1/2'
'x+1/2,y+1/2,z'
'-x+1/2,-y+1/2,z+1/2'
'-x+1/2,y+1/2,z'
'x+1/2,-y+1/2,z+1/2'
loop_
_atom_site_label
_atom_site_type_symbol
_atom_site_fract_x
_atom_site_fract_y
_atom_site_fract_z
Tm1 Tm 0.0000 0.0046 0.0000
Tm2 Tm 0.0000 0.2801 0.4329
Tm3 Tm 0.1774 0.2570 0.9876
Tm4 Tm 0.1988 0.4350 0.2641
Tl1 Tl 0.0000 0.4174 0.8812
Tl2 Tl 0.1955 0.1080 0.2510
Te1 Te 0.0000 0.1489 0.7404
```

---

[5]
Here is an optimized crystal structure of SrCaZr2Ni from the Alexandria database. Energies are from PBE.

Values from the calculation:
E	-3.562	eV/atom
spin magnetization	0.00	μB per cell
energy of formation from the pure elements	1750	meV per atom
density	4.1	Mg/m³

Structure (CIF):
```
data_SrCaZr2Ni
_cell_length_a 5.1012
_cell_length_b 5.1012
_cell_length_c 5.6756
_cell_angle_alpha 90.00
_cell_angle_beta 90.00
_cell_angle_gamma 90.00
_symmetry_space_group_name_H-M 'P 4/m m m'
_symmetry_Int_Tables_number 123
_symmetry_space_group_name_Hall '-P 4 2'
loop_
_atom_site_label
_atom_site_type_symbol
_atom_site_fract_x
_atom_site_fract_y
_atom_site_fract_z
Sr1 Sr 0.0000 0.0000 0.0000
Ca1 Ca 0.0000 0.0000 0.5000
Zr1 Zr 0.0000 0.5000 0.5000
Ni1 Ni 0.5000 0.5000 0.0000
```

---

[6]
Here is an optimized crystal structure of ZrSbW from the Alexandria database. Energies are from PBE.

Values from the calculation:
E	-8.460	eV/atom
spin magnetization	0.00	μB per cell
E_form (uncorrected)	0.081	eV per atom
density	11.1	Mg/m³

Structure (CIF):
```
data_ZrSbW
_cell_length_a 3.5630
_cell_length_b 3.5630
_cell_length_c 9.3916
_cell_angle_alpha 90.00
_cell_angle_beta 90.00
_cell_angle_gamma 90.00
_symmetry_space_group_name_H-M 'I 4 m m'
_symmetry_Int_Tables_number 107
_symmetry_space_group_name_Hall 'I 4 -2'
loop_
_atom_site_label
_atom_site_type_symbol
_atom_site_fract_x
_atom_site_fract_y
_atom_site_fract_z
Zr1 Zr 0.0000 0.0000 0.0000
Sb1 Sb 0.0000 0.0000 0.3186
W1 W 0.0000 0.0000 0.6658
```

---

[7]
Here is an optimized crystal structure of PmAl2Ni2 from the Alexandria database. Energies are from PBE.

Values from the calculation:
E	-5.316	eV/atom
spin magnetization	0.00	μB per cell
energy of formation from the pure elements	-556	meV per atom
density	6.1	Mg/m³

Structure (CIF):
```
data_PmAl2Ni2
_cell_length_a 4.1523
_cell_length_b 4.1523
_cell_length_c 19.8720
_cell_angle_alpha 90.00
_cell_angle_beta 90.00
_cell_angle_gamma 90.00
_symmetry_space_group_name_H-M 'I 4/m m m'
_symmetry_Int_Tables_number 139
_symmetry_space_group_name_Hall '-I 4 2'
loop_
_atom_site_label
_atom_site_type_symbol
_atom_site_fract_x
_atom_site_fract_y
_atom_site_fract_z
Pm1 Pm 0.0000 0.0000 0.1281
Al1 Al 0.0000 0.0000 0.3117
Al2 Al 0.0000 0.5000 0.0000
Ni1 Ni 0.0000 0.0000 0.4338
Ni2 Ni 0.0000 0.5000 0.2500
```

---

[8]
Here is an optimized crystal structure of Mn6Zn2CN from the Alexandria database. Energies are from PBE.

Values from the calculation:
E	-7.612	eV/atom
spin magnetization	12.94	μB per cell
E_form (uncorrected)	-0.101	eV per atom
density	7.1	Mg/m³

Structure (CIF):
```
data_Mn6Zn2CN
_cell_length_a 3.8677
_cell_length_b 3.8677
_cell_length_c 7.6327
_cell_angle_alpha 90.00
_cell_angle_beta 90.00
_cell_angle_gamma 90.00
_symmetry_space_group_name_H-M 'P 4/m m m'
_symmetry_Int_Tables_number 123
_symmetry_space_group_name_Hall '-P 4 2'
loop_
_atom_site_label
_atom_site_type_symbol
_atom_site_fract_x
_atom_site_fract_y
_atom_site_fract_z
Mn1 Mn 0.0000 0.0000 0.2479
Mn2 Mn 0.0000 0.5000 0.0000
Mn3 Mn 0.0000 0.5000 0.5000
Zn1 Zn 0.5000 0.5000 0.2517
C1 C 0.0000 0.0000 0.5000
N1 N 0.0000 0.0000 0.0000
```